# 1
{"formula": "SrNd2Ga2Ni4", "functional": "PBE", "state": "optimized geometry", "density_g_cm3": 7.05, "space_group": "C2/m (12)", "total_energy_ev_per_fu": -43.517, "lattice": [[5.252, -2.071, 0.000], [5.252, 2.071, 0.000], [-1.384, 0.000, 8.122]], "species": ["Sr", "Nd", "Nd", "Ga", "Ga", "Ni", "Ni", "Ni", "Ni"], "frac_coords": [[0.000, 0.000, 0.000], [0.378, 0.378, 0.619], [0.622, 0.622, 0.381], [0.320, 0.320, 0.219], [0.680, 0.680, 0.781], [0.088, 0.088, 0.629], [0.257, 0.257, 0.913], [0.743, 0.743, 0.087], [0.912, 0.912, 0.371]]}

***

# 2
{"formula": "TbNdGa2Ni4", "functional": "PBE", "state": "optimized geometry", "density_g_cm3": 8.29, "space_group": "Pmm2 (25)", "total_energy_ev_per_fu": -42.010, "lattice": [[4.002, 0.000, 0.000], [0.000, 5.090, 0.000], [0.000, 0.000, 6.662]], "species": ["Tb", "Nd", "Ga", "Ga", "Ni", "Ni", "Ni", "Ni"], "frac_coords": [[0.000, 0.000, 0.000], [0.000, 0.500, 0.595], [0.500, 0.000, 0.625], [0.500, 0.500, 0.966], [0.000, 0.000, 0.412], [0.000, 0.500, 0.169], [0.500, 0.247, 0.291], [0.500, 0.753, 0.291]]}

***

# 3
{"formula": "TbNdGa2Ni4", "functional": "PBE", "state": "optimized geometry", "density_g_cm3": 8.18, "space_group": "P-6m2 (187)", "total_energy_ev_per_fu": -42.019, "lattice": [[4.171, 0.000, 0.000], [-2.086, 3.613, 0.000], [0.000, 0.000, 9.121]], "species": ["Tb", "Nd", "Ga", "Ga", "Ni", "Ni", "Ni", "Ni"], "frac_coords": [[0.000, 0.000, 0.000], [0.333, 0.667, 0.500], [0.667, 0.333, 0.243], [0.667, 0.333, 0.757], [0.000, 0.000, 0.301], [0.000, 0.000, 0.699], [0.333, 0.667, 0.184], [0.333, 0.667, 0.816]]}